[1]
Here is a relaxed Nb2Sn2Hg crystal from Alexandria via LeMat-Bulk. Energies are from PBE.

Summary:
DFT formation energy = 382 meV/atom
energy above the lowest structure with this stoichiometry = 327 meV per atom
raw total energy = -5.3070 eV/atom

abc: 3.9918 3.9918 14.6058
angles: 90.00 90.00 90.00
Space group I4/mmm (No. 139)
Symmetry-distinct sites (fractional):
Nb 0.0000 0.5000 0.2500
Sn 0.0000 0.0000 0.1011
Hg 0.0000 0.0000 0.5000

=====

[2]
Here is a relaxed NbSnHg3 crystal from Alexandria via LeMat-Bulk. Energies are from PBE.

Summary:
DFT formation energy = 779 meV/atom
energy above the lowest structure with this stoichiometry = 0 meV per atom
raw total energy = -2.2165 eV/atom

abc: 5.3837 5.3837 5.3837
angles: 90.00 90.00 90.00
Space group Pm-3m (No. 221)
Symmetry-distinct sites (fractional):
Nb 0.0000 0.0000 0.0000
Sn 0.5000 0.5000 0.5000
Hg 0.0000 0.0000 0.5000